NaPmS2O6 | PBE | relaxed

Cell lengths 6.498, 6.498, 7.603 Å; angles 93.96, 93.96, 107.53 degrees
Sites, in units of the cell vectors:
1 Na 0.166 0.834 0.750
2 Na 0.834 0.166 0.250
3 Pm 0.421 0.579 0.250
4 Pm 0.579 0.421 0.750
5 S 0.093 0.337 0.853
6 S 0.337 0.093 0.353
7 S 0.663 0.907 0.647
8 S 0.907 0.663 0.147
9 O 0.040 0.551 0.260
10 O 0.196 0.215 0.722
11 O 0.215 0.196 0.222
12 O 0.302 0.532 0.931
13 O 0.449 0.960 0.240
14 O 0.468 0.698 0.569
15 O 0.532 0.302 0.431
16 O 0.551 0.040 0.760
17 O 0.698 0.468 0.069
18 O 0.785 0.804 0.778
19 O 0.804 0.785 0.278
20 O 0.960 0.449 0.740

Computed properties:
* calculated total energy: -127.93 eV for the cell shown
* formation energy (no corrections): -192 kJ/mol of atoms